1.
La2Pm3Nd6Ho | PBE | relaxed

abc: 6.365 11.023 12.192
angles: 90.00 100.12 90.00
Space group C2/m (No. 12)
Unique sites:
1 La 0.000 0.167 0.000 [4 per cell]
2 Pm 0.000 0.000 0.500 [2 per cell]
3 Pm 0.000 0.334 0.500 [4 per cell]
4 Nd 0.248 0.500 0.749 [4 per cell]
5 Nd 0.249 0.334 0.251 [8 per cell]
6 Ho 0.000 0.500 0.000 [2 per cell]

Output
formation energy from the elements	1.5	kJ per mole of atoms
crystal system	monoclinic
size of the total moment	0.0	μB per cell

=====

2.
LaPm3Nd6Ho2 | PBE | relaxed

abc: 6.336 10.972 12.118
angles: 90.00 100.07 90.00
Space group C2/m (No. 12)
Unique sites:
1 La 0.000 0.000 0.000 [2 per cell]
2 Pm 0.000 0.167 0.500 [4 per cell]
3 Pm 0.000 0.500 0.500 [2 per cell]
4 Nd 0.249 0.333 0.751 [8 per cell]
5 Nd 0.249 0.500 0.249 [4 per cell]
6 Ho 0.000 0.333 0.000 [4 per cell]

Output
formation energy from the elements	1.6	kJ per mole of atoms
crystal system	monoclinic
size of the total moment	0.0	μB per cell

=====

3.
LaPmNdHo | PBE | relaxed

abc: 8.217 8.217 8.217
angles: 90.00 90.00 90.00
Space group F-43m (No. 216)
Unique sites:
1 La 0.000 0.000 0.000 [4 per cell]
2 Pm 0.250 0.250 0.250 [4 per cell]
3 Nd 0.000 0.000 0.500 [4 per cell]
4 Ho 0.250 0.250 0.750 [4 per cell]

Output
formation energy from the elements	11.3	kJ per mole of atoms
crystal system	cubic
size of the total moment	0.0	μB per cell

=====

4.
LaPmNd2Ho | PBE | relaxed

abc: 8.560 6.592 6.347
angles: 90.00 95.48 90.00
Space group P2/c (No. 13)
Unique sites:
1 La 0.000 0.000 0.000 [2 per cell]
2 Pm 0.000 0.437 0.250 [2 per cell]
3 Nd 0.313 0.311 0.719 [4 per cell]
4 Ho 0.500 0.165 0.250 [2 per cell]

Output
formation energy from the elements	25.4	kJ per mole of atoms
crystal system	monoclinic
size of the total moment	0.0	μB per cell

=====

5.
La5PmNdHo2 | PBE | relaxed

abc: 5.786 20.821 10.749
angles: 90.00 90.00 90.00
Space group Cmc2_1 (No. 36)
Unique sites:
1 La 0.000 0.016 0.000 [4 per cell]
2 La 0.000 0.279 0.300 [4 per cell]
3 La 0.000 0.295 0.688 [4 per cell]
4 La 0.000 0.387 0.006 [4 per cell]
5 La 0.000 0.481 0.727 [4 per cell]
6 Pm 0.000 0.198 0.996 [4 per cell]
7 Nd 0.000 0.410 0.437 [4 per cell]
8 Ho 0.000 0.115 0.719 [4 per cell]
9 Ho 0.000 0.116 0.298 [4 per cell]

Output
formation energy from the elements	13.1	kJ per mole of atoms
crystal system	orthorhombic
size of the total moment	0.0	μB per cell

=====

6.
LaPmNdHo3 | PBE | relaxed

abc: 20.088 5.651 7.092
angles: 90.00 90.19 90.00
Space group C2/m (No. 12)
Unique sites:
1 La 0.147 0.000 0.040 [4 per cell]
2 Pm 0.149 0.000 0.464 [4 per cell]
3 Nd 0.055 0.500 0.259 [4 per cell]
4 Ho 0.024 0.000 0.745 [4 per cell]
5 Ho 0.164 0.500 0.742 [4 per cell]
6 Ho 0.221 0.500 0.247 [4 per cell]

Output
formation energy from the elements	17.5	kJ per mole of atoms
crystal system	monoclinic
size of the total moment	0.0	μB per cell

=====

7.
La2PrNdHo4 | PBE | relaxed

abc: 6.294 3.640 11.873
angles: 90.00 100.25 90.00
Space group P2/m (No. 10)
Unique sites:
1 La 0.000 0.000 0.000 [1 per cell]
2 La 0.000 0.500 0.500 [1 per cell]
3 Pr 0.500 0.000 0.500 [1 per cell]
4 Nd 0.500 0.500 0.000 [1 per cell]
5 Ho 0.250 0.000 0.751 [2 per cell]
6 Ho 0.250 0.500 0.250 [2 per cell]

Output
formation energy from the elements	1.5	kJ per mole of atoms
crystal system	monoclinic
size of the total moment	0.0	μB per cell

=====

8.
La3PrNdHo | PBE | relaxed

abc: 21.051 5.932 6.894
angles: 90.00 90.86 90.00
Space group C2/m (No. 12)
Unique sites:
1 La 0.016 0.000 0.252 [4 per cell]
2 La 0.160 0.500 0.255 [4 per cell]
3 La 0.219 0.500 0.773 [4 per cell]
4 Pr 0.148 0.000 0.524 [4 per cell]
5 Nd 0.059 0.500 0.764 [4 per cell]
6 Ho 0.142 0.000 0.981 [4 per cell]

Output
formation energy from the elements	13.6	kJ per mole of atoms
crystal system	monoclinic
size of the total moment	0.0	μB per cell

=====

9.
La2PrNdHo5 | PBE | relaxed

abc: 8.728 8.728 15.806
angles: 90.00 90.00 90.00
Space group I4/mcm (No. 140)
Unique sites:
1 La 0.117 0.383 0.000 [8 per cell]
2 Pr 0.000 0.000 0.250 [4 per cell]
3 Nd 0.000 0.500 0.250 [4 per cell]
4 Ho 0.000 0.000 0.000 [4 per cell]
5 Ho 0.213 0.287 0.360 [16 per cell]

Output
formation energy from the elements	23.2	kJ per mole of atoms
crystal system	tetragonal
size of the total moment	0.0	μB per cell

=====

10.
La5PrNdHo2 | PBE | relaxed

abc: 5.804 20.842 10.746
angles: 90.00 90.00 90.00
Space group Cmc2_1 (No. 36)
Unique sites:
1 La 0.000 0.016 0.000 [4 per cell]
2 La 0.000 0.279 0.298 [4 per cell]
3 La 0.000 0.295 0.687 [4 per cell]
4 La 0.000 0.387 0.006 [4 per cell]
5 La 0.000 0.480 0.725 [4 per cell]
6 Pr 0.000 0.411 0.433 [4 per cell]
7 Nd 0.000 0.198 0.995 [4 per cell]
8 Ho 0.000 0.115 0.716 [4 per cell]
9 Ho 0.000 0.117 0.299 [4 per cell]

Output
formation energy from the elements	13.1	kJ per mole of atoms
crystal system	orthorhombic
size of the total moment	0.0	μB per cell

=====

11.
LaPr2NdHo2 | PBE | relaxed

abc: 7.133 10.023 5.789
angles: 90.00 90.00 90.00
Space group Pnnm (No. 58)
Unique sites:
1 La 0.000 0.000 0.000 [2 per cell]
2 Pr 0.248 0.333 0.000 [4 per cell]
3 Nd 0.000 0.500 0.500 [2 per cell]
4 Ho 0.249 0.167 0.500 [4 per cell]

Output
formation energy from the elements	6.0	kJ per mole of atoms
crystal system	orthorhombic
size of the total moment	0.0	μB per cell

=====

12.
La3Pr2NdHo6 | PBE | relaxed

abc: 6.306 10.922 11.857
angles: 90.00 100.20 90.00
Space group C2/m (No. 12)
Unique sites:
1 La 0.000 0.000 0.000 [2 per cell]
2 La 0.000 0.333 0.000 [4 per cell]
3 Pr 0.000 0.167 0.500 [4 per cell]
4 Nd 0.000 0.500 0.500 [2 per cell]
5 Ho 0.249 0.333 0.748 [8 per cell]
6 Ho 0.250 0.000 0.749 [4 per cell]

Output
formation energy from the elements	1.2	kJ per mole of atoms
crystal system	monoclinic
size of the total moment	0.0	μB per cell

=====

no.,calculated density (Mg/m³)
1,6.87
2,7.08
3,7.10
4,6.87
5,6.74
6,7.61
7,7.59
8,6.69
9,7.65
10,6.69
11,7.18
12,7.57